First-principles (GGA-PBE) data for Y2ReTc2 after structural relaxation, as listed in Alexandria via LeMat-Bulk.

- Density: 9.03 Mg/m³
- V: 206.02 Å³ per cell
- DFT formation energy: 0.13 eV per formula unit

a = 6.5567 Å, b = 6.5567 Å, c = 4.7921 Å
α = 90.00°, β = 90.00°, γ = 90.00°
Element x y z (fractional)
1 Y 0.1796 0.3204 0.0000
2 Y 0.3204 0.8204 0.0000
3 Y 0.6796 0.1796 0.0000
4 Y 0.8204 0.6796 0.0000
5 Re 0.0000 0.0000 0.5000
6 Re 0.5000 0.5000 0.5000
7 Tc 0.1326 0.6326 0.5000
8 Tc 0.3674 0.1326 0.5000
9 Tc 0.6326 0.8674 0.5000
10 Tc 0.8674 0.3674 0.5000

First-principles (GGA-PBE) data for YReTc2 after structural relaxation, as listed in Alexandria via LeMat-Bulk.

- Density: 9.99 Mg/m³
- V: 156.63 Å³ per cell
- DFT formation energy: 2.19 eV per formula unit

a = 5.9618 Å, b = 5.9618 Å, c = 5.9618 Å
α = 103.35°, β = 103.35°, γ = 122.55°
Element x y z (fractional)
1 Y 0.0000 0.0000 0.0000
2 Y 0.7500 0.2500 0.5000
3 Re 0.2500 0.7500 0.5000
4 Re 0.5000 0.5000 0.0000
5 Tc 0.1804 0.6250 0.0554
6 Tc 0.3750 0.4304 0.5554
7 Tc 0.5696 0.1250 0.9446
8 Tc 0.8750 0.8196 0.4446

First-principles (GGA-PBE) data for YReTc2 after structural relaxation, as listed in Alexandria via LeMat-Bulk.

- Density: 11.25 Mg/m³
- V: 69.55 Å³ per cell
- DFT formation energy: 0.54 eV per formula unit

a = 3.1736 Å, b = 3.1736 Å, c = 6.9055 Å
α = 90.00°, β = 90.00°, γ = 90.00°
Element x y z (fractional)
1 Y 0.0000 0.0000 0.0000
2 Re 0.0000 0.0000 0.5000
3 Tc 0.5000 0.5000 0.2862
4 Tc 0.5000 0.5000 0.7138

First-principles (GGA-PBE) data for YRe2Tc2 after structural relaxation, as listed in Alexandria via LeMat-Bulk.

- Density: 12.71 Mg/m³
- V: 171.76 Å³ per cell
- DFT formation energy: 0.75 eV per formula unit

a = 7.8146 Å, b = 7.8146 Å, c = 2.8125 Å
α = 90.00°, β = 90.00°, γ = 90.00°
Element x y z (fractional)
1 Y 0.0000 0.0000 0.0000
2 Y 0.5000 0.5000 0.0000
3 Re 0.1231 0.3769 0.0000
4 Re 0.3769 0.8769 0.0000
5 Re 0.6231 0.1231 0.0000
6 Re 0.8769 0.6231 0.0000
7 Tc 0.1663 0.6663 0.5000
8 Tc 0.3337 0.1663 0.5000
9 Tc 0.6663 0.8337 0.5000
10 Tc 0.8337 0.3337 0.5000

First-principles (GGA-PBE) data for Y2ReTc after structural relaxation, as listed in Alexandria via LeMat-Bulk.

- Density: 9.66 Mg/m³
- V: 79.45 Å³ per cell
- DFT formation energy: 1.76 eV per formula unit

a = 3.0391 Å, b = 3.0391 Å, c = 9.2142 Å
α = 90.00°, β = 90.00°, γ = 110.99°
Element x y z (fractional)
1 Y 0.0000 0.0000 0.2468
2 Y 0.0000 0.0000 0.7532
3 Re 0.5000 0.5000 0.5000
4 Tc 0.5000 0.5000 0.0000

First-principles (GGA-PBE) data for Y2ReTc after structural relaxation, as listed in Alexandria via LeMat-Bulk.

- Density: 8.39 Mg/m³
- V: 91.47 Å³ per cell
- DFT formation energy: 0.78 eV per formula unit

a = 3.3569 Å, b = 4.1975 Å, c = 6.6881 Å
α = 90.00°, β = 103.92°, γ = 90.00°
Element x y z (fractional)
1 Y 0.0000 0.0000 0.0000
2 Y 0.3392 0.5000 0.6308
3 Re 0.5517 0.5000 0.2329
4 Tc 0.7994 0.0000 0.3976

Which of these has the lowest V?
number 3